# 1
Crystalline TaNb14Sb at its relaxed geometry. Source: Alexandria via LeMat-Bulk, functional PBE.

Cell: 6.656 6.656 6.661 Å, 90.00 90.00 90.00°
Space group P4/mmm (No. 123)
Asymmetric unit:
Ta 0.000 0.000 0.000 [1 per cell]
Nb 0.000 0.000 0.500 [1 per cell]
Nb 0.000 0.500 0.000 [2 per cell]
Nb 0.000 0.500 0.500 [2 per cell]
Nb 0.246 0.246 0.255 [8 per cell]
Nb 0.500 0.500 0.500 [1 per cell]
Sb 0.500 0.500 0.000 [1 per cell]

Results
E_form (uncorrected)   -0.054 eV per atom

=====

# 2
Crystalline Pr6NdDy2 at its relaxed geometry. Source: Alexandria via LeMat-Bulk, functional PBE.

Cell: 3.679 9.005 9.715 Å, 89.57 79.09 89.89°
Space group P-1 (No. 2)
Asymmetric unit:
Pr 0.109 0.164 0.283 [2 per cell]
Pr 0.220 0.835 0.059 [2 per cell]
Pr 0.335 0.501 0.831 [2 per cell]
Nd 0.000 0.500 0.500 [1 per cell]
Dy 0.445 0.167 0.610 [2 per cell]

Results
Formation enthalpy at 0 K   17 meV per atom
Energy above the most stable polymorph in this dataset   0 meV/atom

=====

# 3
Crystalline AcCeSm at its relaxed geometry. Source: Alexandria via LeMat-Bulk, functional PBE.

Cell: 3.706 3.706 15.532 Å, 90.00 90.00 90.00°
Space group I4mm (No. 107)
Asymmetric unit:
Ac 0.000 0.000 0.000 [2 per cell]
Ce 0.000 0.000 0.335 [2 per cell]
Sm 0.000 0.000 0.683 [2 per cell]

Results
Formation enthalpy at 0 K   116 meV per atom
Energy above the most stable polymorph in this dataset   0 meV/atom